(1)
Density functional theory data (PBE-GGA) for ZnH2SO5 after structural relaxation.

Properties
- Electronic total energy: -5.4124 eV per atom

a = 5.214 Å, b = 5.214 Å, c = 7.629 Å
α = 106.33°, β = 106.33°, γ = 98.12°
Sites, in units of the cell vectors:
Zn 0.000 0.500 0.000
Zn 0.500 0.000 0.500
H 0.048 0.136 0.708
H 0.136 0.048 0.208
H 0.864 0.952 0.792
H 0.952 0.864 0.292
S 0.413 0.587 0.750
S 0.587 0.413 0.250
O 0.117 0.883 0.250
O 0.278 0.326 0.162
O 0.288 0.676 0.901
O 0.324 0.712 0.599
O 0.326 0.278 0.662
O 0.674 0.722 0.338
O 0.676 0.288 0.401
O 0.712 0.324 0.099
O 0.722 0.674 0.838
O 0.883 0.117 0.750

(2)
Density functional theory data (PBE-GGA) for Sb2HO3 after structural relaxation.

Properties
- Electronic total energy: -5.3351 eV per atom

a = 6.706 Å, b = 6.706 Å, c = 5.655 Å
α = 90.00°, β = 90.00°, γ = 52.78°
Sites, in units of the cell vectors:
Sb 0.067 0.627 0.500
Sb 0.373 0.933 0.500
Sb 0.627 0.067 0.000
Sb 0.933 0.373 0.000
H 0.060 0.940 0.193
H 0.940 0.060 0.693
O 0.046 0.155 0.698
O 0.155 0.046 0.198
O 0.349 0.651 0.527
O 0.651 0.349 0.027
O 0.845 0.954 0.698
O 0.954 0.845 0.198

(3)
Density functional theory data (PBE-GGA) for SbHO after structural relaxation.

Properties
- Energy relative to the lowest polymorph listed for this composition: 85 meV per atom

a = 4.371 Å, b = 4.652 Å, c = 5.306 Å
α = 95.90°, β = 111.70°, γ = 91.12°
Sites, in units of the cell vectors:
Sb 0.000 0.000 0.000
Sb 0.208 0.443 0.505
H 0.598 0.097 0.947
H 0.859 0.891 0.447
O 0.847 0.716 0.311
O 0.925 0.205 0.638